Record 1
This record from the Alexandria database describes an optimized crystal structure of La4BiPb2. The functional is PBEsol.

The space group is I-42d (No. 122) and the conventional cell measures 9.752, 9.752 and 9.714 Å, with angles of 90.00, 90.00 and 90.00 degrees. The asymmetric unit holds La at (0.072, 0.178, 0.305), Bi at (0.000, 0.000, 0.000) and Pb at (0.126, 0.250, 0.625).

Its calculated formation energy is -0.74 eV/atom. For the density of states at the Fermi level, the calculation gives 23.86 states/eV per cell.

---

Record 2
This record from the Alexandria database describes an optimized crystal structure of TlAu. The functional is PBEsol.

The space group is Pnma (No. 62) and the conventional cell measures 8.099, 4.132 and 5.694 Å, with angles of 90.00, 90.00 and 90.00 degrees. The asymmetric unit holds Tl at (0.126, 0.250, 0.243) and Au at (0.124, 0.250, 0.743).

Its calculated formation energy is 0.08 eV/atom. For the density of states at the Fermi level, the calculation gives 2.69 states/eV per cell.

---

Record 3
This record from the Alexandria database describes an optimized crystal structure of LaMo3Pt. The functional is PBEsol.

The space group is Pm-3m (No. 221) and the conventional cell measures 4.621, 4.621 and 4.621 Å, with angles of 90.00, 90.00 and 90.00 degrees. The asymmetric unit holds La at (0.000, 0.000, 0.000), Mo at (0.000, 0.000, 0.500) and Pt at (0.500, 0.500, 0.500).

Its calculated formation energy is 2.18 eV/atom. For the density of states at the Fermi level, the calculation gives 4.20 states/eV per cell.

---

Record 4
This record from the Alexandria database describes an optimized crystal structure of BaBiOsBr2. The functional is PBEsol.

The space group is P4/mmm (No. 123) and the conventional cell measures 5.283, 5.283 and 5.187 Å, with angles of 90.00, 90.00 and 90.00 degrees. The asymmetric unit holds Ba at (0.000, 0.000, 0.000), Bi at (0.500, 0.500, 0.000), Os at (0.500, 0.500, 0.500) and Br at (0.000, 0.500, 0.500).

For the density of states at the Fermi level, the calculation gives 3.83 states/eV per cell. For the energy, the calculation gives -23.16 eV for the cell shown.

---

Record 5
This record from the Alexandria database describes an optimized crystal structure of BeBiF2. The functional is PBEsol.

The space group is Fd-3m (No. 227, origin choice 2) and the conventional cell measures 7.619, 7.619 and 7.619 Å, with angles of 90.00, 90.00 and 90.00 degrees. The asymmetric unit holds Be at (0.125, 0.125, 0.125), Bi at (0.125, 0.125, 0.625) and F at (0.000, 0.000, 0.000).

For the density of states at the Fermi level, the calculation gives 5.60 states/eV per cell. For the energy, the calculation gives -160.65 eV for the cell shown.

---

Record 6
This record from the Alexandria database describes an optimized crystal structure of AgIr3Pb. The functional is PBEsol.

The space group is Pm-3m (No. 221) and the conventional cell measures 4.750, 4.750 and 4.750 Å, with angles of 90.00, 90.00 and 90.00 degrees. The asymmetric unit holds Ag at (0.000, 0.000, 0.000), Ir at (0.000, 0.000, 0.500) and Pb at (0.500, 0.500, 0.500).

Its calculated formation energy is 2.13 eV/atom. For the density of states at the Fermi level, the calculation gives 6.25 states/eV per cell.

---

Record 7
This record from the Alexandria database describes an optimized crystal structure of CaMg. The functional is PBEsol.

The space group is P4/nmm (No. 129, origin choice 2) and the conventional cell measures 3.752, 3.752 and 8.771 Å, with angles of 90.00, 90.00 and 90.00 degrees. The asymmetric unit holds Ca at (0.250, 0.250, 0.163) and Mg at (0.250, 0.250, 0.591).

Its calculated formation energy is -0.04 eV/atom. For the density of states at the Fermi level, the calculation gives 2.43 states/eV per cell.

---

Record 8
This record from the Alexandria database describes an optimized crystal structure of Y3Rh4. The functional is PBEsol.

The space group is R-3 (No. 148, hexagonal axes) and the conventional cell measures 12.4170, 12.4170 and 5.7313 Å, with angles of 90.00, 90.00 and 120.00 degrees. The asymmetric unit holds Y at (0.0410, 0.8216, 0.2069), Rh at (0.0000, 0.0000, 0.0000), Rh at (0.0000, 0.0000, 0.5000) and Rh at (0.0483, 0.7987, 0.6874).

Its calculated formation energy is -0.69 eV/atom. For the density of states at the Fermi level, the calculation gives 28.91 states/eV per cell.